Ca5La3Pr12 after structural relaxation. Source: Alexandria via LeMat-Bulk, functional PBE.

Unit cell a=17.2496 b=17.2496 c=17.2496 alpha=109.47 beta=109.47 gamma=109.47
With the nearest neighbours (Å) after each atom.
Fractional coordinates of all 80 atoms:
Pr 0.8571 0.5875 0.9410  1 La 3.30, 2 Ca 3.35-3.65, 3 Pr 3.40-3.60
La 0.7500 0.8750 0.6250  4 Pr 3.30
Pr 0.8571 0.2696 0.4161  1 La 3.30, 2 Ca 3.35-3.65, 3 Pr 3.40-3.60
Pr 0.0590 0.1465 0.4161  1 La 3.30, 2 Ca 3.35-3.65, 3 Pr 3.40-3.60
Pr 0.7304 0.5875 0.1465  1 La 3.30, 2 Ca 3.35-3.65, 3 Pr 3.40-3.60
Pr 0.7304 0.1429 0.0839  1 La 3.30, 2 Ca 3.35-3.65, 3 Pr 3.40-3.60
Pr 0.6429 0.0839 0.2304  1 La 3.30, 2 Ca 3.35-3.65, 3 Pr 3.40-3.60
Pr 0.4410 0.0839 0.3535  1 La 3.30, 2 Ca 3.35-3.65, 3 Pr 3.40-3.60
Pr 0.4125 0.2696 0.3535  1 La 3.30, 2 Ca 3.35-3.65, 3 Pr 3.40-3.60
Ca 0.7500 0.1250 0.8750  4 Pr 3.65
Pr 0.8535 0.9125 0.2696  1 La 3.30, 2 Ca 3.35-3.65, 3 Pr 3.40-3.60
Pr 0.1429 0.4125 0.0590  1 La 3.30, 2 Ca 3.35-3.65, 3 Pr 3.40-3.60
Ca 0.1250 0.7500 0.3750  4 Pr 3.65
Pr 0.9161 0.3571 0.2696  1 La 3.30, 2 Ca 3.35-3.65, 3 Pr 3.40-3.60
Pr 0.8535 0.9410 0.0839  1 La 3.30, 2 Ca 3.35-3.65, 3 Pr 3.40-3.60
La 0.7500 0.3750 0.1250  4 Pr 3.30
Pr 0.0875 0.1465 0.2304  1 La 3.30, 2 Ca 3.35-3.65, 3 Pr 3.40-3.60
La 0.1250 0.2500 0.8750  4 Pr 3.30
Pr 0.1429 0.7304 0.5839  1 La 3.30, 2 Ca 3.35-3.65, 3 Pr 3.40-3.60
Pr 0.2304 0.6465 0.0875  1 La 3.30, 2 Ca 3.35-3.65, 3 Pr 3.40-3.60
Pr 0.2696 0.4125 0.8535  1 La 3.30, 2 Ca 3.35-3.65, 3 Pr 3.40-3.60
Ca 0.6250 0.8750 0.2500  4 Pr 3.65
Pr 0.9161 0.5590 0.1465  1 La 3.30, 2 Ca 3.35-3.65, 3 Pr 3.40-3.60
La 0.8750 0.1250 0.2500  4 Pr 3.30
La 0.6250 0.2500 0.3750  4 Pr 3.30
Pr 0.4161 0.6465 0.0590  1 La 3.30, 2 Ca 3.35-3.65, 3 Pr 3.40-3.60
Pr 0.2304 0.5839 0.6429  1 La 3.30, 2 Ca 3.35-3.65, 3 Pr 3.40-3.60
Pr 0.7696 0.3535 0.9125  1 La 3.30, 2 Ca 3.35-3.65, 3 Pr 3.40-3.60
La 0.2500 0.6250 0.8750  4 Pr 3.30
Pr 0.5875 0.8571 0.4410  1 La 3.30, 2 Ca 3.35-3.65, 3 Pr 3.40-3.60
Ca 0.0000 0.5000 0.0000  6 Pr 3.35
La 0.3750 0.7500 0.6250  4 Pr 3.30
Ca 0.0000 0.0000 0.5000  6 Pr 3.35
Pr 0.5839 0.3535 0.9410  1 La 3.30, 2 Ca 3.35-3.65, 3 Pr 3.40-3.60
Ca 0.5000 0.5000 0.5000  6 Pr 3.35
La 0.8750 0.7500 0.1250  4 Pr 3.30
Pr 0.9125 0.0590 0.6429  1 La 3.30, 2 Ca 3.35-3.65, 3 Pr 3.40-3.60
Pr 0.3571 0.4410 0.0875  1 La 3.30, 2 Ca 3.35-3.65, 3 Pr 3.40-3.60
Pr 0.0839 0.6429 0.7304  1 La 3.30, 2 Ca 3.35-3.65, 3 Pr 3.40-3.60
Ca 0.0000 0.0000 0.0000  6 Pr 3.35
Pr 0.1465 0.0590 0.9161  1 La 3.30, 2 Ca 3.35-3.65, 3 Pr 3.40-3.60
Pr 0.0875 0.9410 0.3571  1 La 3.30, 2 Ca 3.35-3.65, 3 Pr 3.40-3.60
Pr 0.6465 0.2304 0.5875  1 La 3.30, 2 Ca 3.35-3.65, 3 Pr 3.40-3.60
Pr 0.5875 0.7304 0.6465  1 La 3.30, 2 Ca 3.35-3.65, 3 Pr 3.40-3.60
Ca 0.3750 0.2500 0.1250  4 Pr 3.65
La 0.3750 0.6250 0.2500  4 Pr 3.30
Ca 0.8750 0.2500 0.6250  4 Pr 3.65
Ca 0.3750 0.1250 0.7500  4 Pr 3.65
Pr 0.2696 0.8571 0.9161  1 La 3.30, 2 Ca 3.35-3.65, 3 Pr 3.40-3.60
Pr 0.9410 0.0875 0.8571  1 La 3.30, 2 Ca 3.35-3.65, 3 Pr 3.40-3.60
La 0.6250 0.3750 0.7500  4 Pr 3.30
Pr 0.3535 0.7696 0.4125  1 La 3.30, 2 Ca 3.35-3.65, 3 Pr 3.40-3.60
Ca 0.2500 0.3750 0.6250  4 Pr 3.65
Ca 0.1250 0.3750 0.2500  4 Pr 3.65
Ca 0.5000 0.5000 0.0000  6 Pr 3.35
Pr 0.4410 0.3571 0.5875  1 La 3.30, 2 Ca 3.35-3.65, 3 Pr 3.40-3.60
Ca 0.5000 0.0000 0.0000  6 Pr 3.35
Ca 0.2500 0.8750 0.1250  4 Pr 3.65
La 0.1250 0.8750 0.7500  4 Pr 3.30
Ca 0.7500 0.6250 0.3750  4 Pr 3.65
Pr 0.5839 0.2304 0.1429  1 La 3.30, 2 Ca 3.35-3.65, 3 Pr 3.40-3.60
Pr 0.0590 0.9125 0.1429  1 La 3.30, 2 Ca 3.35-3.65, 3 Pr 3.40-3.60
La 0.2500 0.1250 0.3750  4 Pr 3.30
Pr 0.3535 0.5839 0.4410  1 La 3.30, 2 Ca 3.35-3.65, 3 Pr 3.40-3.60
Pr 0.0839 0.4410 0.8535  1 La 3.30, 2 Ca 3.35-3.65, 3 Pr 3.40-3.60
Pr 0.4125 0.1429 0.5590  1 La 3.30, 2 Ca 3.35-3.65, 3 Pr 3.40-3.60
Pr 0.6429 0.5590 0.9125  1 La 3.30, 2 Ca 3.35-3.65, 3 Pr 3.40-3.60
Pr 0.5590 0.9161 0.6465  1 La 3.30, 2 Ca 3.35-3.65, 3 Pr 3.40-3.60
Pr 0.9410 0.8535 0.5839  1 La 3.30, 2 Ca 3.35-3.65, 3 Pr 3.40-3.60
Ca 0.8750 0.6250 0.7500  4 Pr 3.65
Pr 0.1465 0.0875 0.7304  1 La 3.30, 2 Ca 3.35-3.65, 3 Pr 3.40-3.60
Ca 0.5000 0.0000 0.5000  6 Pr 3.35
Pr 0.4161 0.7696 0.8571  1 La 3.30, 2 Ca 3.35-3.65, 3 Pr 3.40-3.60
Pr 0.3571 0.9161 0.7696  1 La 3.30, 2 Ca 3.35-3.65, 3 Pr 3.40-3.60
Pr 0.9125 0.8535 0.7696  1 La 3.30, 2 Ca 3.35-3.65, 3 Pr 3.40-3.60
Ca 0.6250 0.7500 0.8750  4 Pr 3.65
Pr 0.7696 0.4161 0.3571  1 La 3.30, 2 Ca 3.35-3.65, 3 Pr 3.40-3.60
Ca 0.0000 0.5000 0.5000  6 Pr 3.35
Pr 0.6465 0.4161 0.5590  1 La 3.30, 2 Ca 3.35-3.65, 3 Pr 3.40-3.60
Pr 0.5590 0.6429 0.4125  1 La 3.30, 2 Ca 3.35-3.65, 3 Pr 3.40-3.60

## Properties
E_form   0.844 eV/atom
Symmetry   Ia-3d
N(E_F)   143.84 states/eV per cell



Ca2La4Pr5 after structural relaxation. Source: Alexandria via LeMat-Bulk, functional PBE.

Unit cell a=3.6886 b=12.1388 c=9.4833 alpha=94.59 beta=101.21 gamma=90.00
With the nearest neighbours (Å) after each atom.
Fractional coordinates of all 11 atoms:
Pr 0.0894 0.5423 0.1787  3 Pr 3.40-3.69, 4 La 3.51-3.63, 1 Ca 3.74
Pr 0.9106 0.4577 0.8213  3 Pr 3.40-3.69, 4 La 3.51-3.63, 1 Ca 3.74
La 0.3634 0.2045 0.7267  6 Pr 3.63-3.75, 4 La 3.69-3.72, 2 Ca 3.90
Pr 0.5000 0.0000 0.0000  6 La 3.64-3.70, 6 Pr 3.69-3.79
Pr 0.8232 0.9372 0.6464  4 La 3.66-3.75, 6 Pr 3.69-3.79, 2 Ca 4.02
Pr 0.1768 0.0628 0.3536  4 La 3.66-3.75, 6 Pr 3.69-3.79, 2 Ca 4.02
La 0.9635 0.7428 0.9271  5 Pr 3.51-3.66, 4 La 3.69-3.72, 2 Ca 3.91
Ca 0.7154 0.3561 0.4307  4 Ca 3.69-4.07, 5 Pr 3.74-4.02, 4 La 3.90-3.91
La 0.0365 0.2572 0.0729  5 Pr 3.51-3.66, 4 La 3.69-3.72, 2 Ca 3.91
Ca 0.2846 0.6439 0.5693  4 Ca 3.69-4.07, 5 Pr 3.74-4.02, 4 La 3.90-3.91
La 0.6366 0.7955 0.2733  6 Pr 3.63-3.75, 4 La 3.69-3.72, 2 Ca 3.90

## Properties
E_form   0.081 eV/atom
Symmetry   C2/m
N(E_F)   18.36 states/eV per cell



CaLa8Pr3 after structural relaxation. Source: Alexandria via LeMat-Bulk, functional PBE.

Unit cell a=3.7360 b=12.9631 c=13.4520 alpha=44.13 beta=81.98 gamma=90.06
With the nearest neighbours (Å) after each atom.
Fractional coordinates of all 12 atoms:
La 0.9214 0.0438 0.1562  1 Pr 3.66, 9 La 3.67-3.87, 2 Ca 3.82-3.83
Ca 0.2501 0.8736 0.4995  2 Ca 3.74, 7 La 3.79-3.83, 3 Pr 3.80-3.82
La 0.7501 0.6150 0.5009  8 La 3.66-3.87, 2 Pr 3.78-3.79, 2 Ca 3.82-3.83
Pr 0.9168 0.5394 0.1666  9 La 3.68-3.77, 3 Pr 3.72-3.74
La 0.5797 0.7008 0.8408  5 La 3.67-3.74, 5 Pr 3.68-3.84, 2 Ca 3.79-3.80
Pr 0.0815 0.4505 0.8380  9 La 3.66-3.79, 2 Pr 3.74, 1 Ca 3.82
La 0.0830 0.9547 0.8327  3 Pr 3.69-3.75, 9 La 3.72-3.78
La 0.4166 0.2935 0.1640  5 La 3.67-3.81, 6 Pr 3.70-3.79, 1 Ca 3.79
La 0.4163 0.7910 0.1677  10 La 3.67-3.77, 2 Pr 3.77
La 0.5843 0.2053 0.8303  10 La 3.68-3.75, 2 Pr 3.75
Pr 0.7482 0.1276 0.5017  7 La 3.67-3.84, 3 Pr 3.72-3.74, 2 Ca 3.80-3.81
La 0.2504 0.3743 0.4982  8 La 3.66-3.78, 4 Pr 3.67-3.73

## Properties
E_form   0.018 eV/atom
Symmetry   P1
N(E_F)   21.19 states/eV per cell



CaLa6Pr2 after structural relaxation. Source: Alexandria via LeMat-Bulk, functional PBE.

Unit cell a=3.6510 b=10.4901 c=10.4901 alpha=58.27 beta=82.23 gamma=82.23
With the nearest neighbours (Å) after each atom.
Fractional coordinates of all 9 atoms:
La 0.6463 0.0129 0.6481  6 La 3.45-3.84, 3 Pr 3.67-3.78
La 0.6463 0.6481 0.0129  6 La 3.45-3.84, 3 Pr 3.67-3.78
La 0.5047 0.3365 0.6636  5 La 3.34-3.65, 2 Pr 3.74
La 0.5047 0.6636 0.3365  5 La 3.34-3.65, 2 Pr 3.74
Pr 0.9033 0.6575 0.6575  10 La 3.64-3.82, 2 Pr 3.65
Ca 0.9991 0.9999 0.9999  2 Ca 3.65, 12 La 3.88-4.07
Pr 0.1088 0.3430 0.3430  2 Pr 3.65, 10 La 3.68-3.80
La 0.3434 0.3524 0.9862  6 La 3.44-3.84, 3 Pr 3.64-3.82
La 0.3434 0.9862 0.3524  6 La 3.44-3.84, 3 Pr 3.64-3.82

## Properties
Energy above the most stable polymorph in this dataset   0.00 kJ per mole of atoms
E_form   0.089 eV/atom
Symmetry   Cm
N(E_F)   14.67 states/eV per cell



Which formula does entry 4 have?
CaLa6Pr2